1.
LiAgSe2 | PBE-GGA | optimized geometry

Calculated values
uncorrected formation energy	-0.3292	eV/atom
volume	19.63	Å³/atom
N(E_F)	2.435	states/eV/cell
excess energy over the best structure of this formula in the dataset	0.100	eV/atom

abc: 6.156 6.156 6.156
angles: 37.77 37.77 37.77
Fractional coordinates of all 4 atoms:
Se  0.004  0.004  0.004
Ag  0.250  0.250  0.250
Se  0.496  0.496  0.496
Li  0.750  0.750  0.750


2.
Sc6In5Ir | PBE-GGA | optimized geometry

Calculated values
volume	21.52	Å³/atom
N(E_F)	9.093	states/eV/cell
ΔE_f	-0.505	eV per atom

abc: 4.596 8.129 8.342
angles: 119.16 106.02 90.00
Fractional coordinates of all 12 atoms:
Ir  0.000  0.000  0.000
Sc  0.159  0.390  0.318
Sc  0.841  0.073  0.682
In  0.654  0.654  0.308
Sc  0.159  0.927  0.318
In  0.346  0.346  0.692
In  0.685  0.184  0.369
Sc  0.841  0.610  0.682
In  0.000  0.500  0.000
Sc  0.500  0.792  0.000
In  0.315  0.816  0.631
Sc  0.500  0.208  0.000